No. 1
Here is Th2Mn3Ge5 after structural relaxation from Alexandria. Energies are from PBE-GGA.

```
20
Lattice="5.5869 0.0000 1.8619 2.1998 7.6741 2.7121 0.2961 -0.1725 8.4244" Properties=species:S:1:pos:R:3 pbc="T T T"
Ge 0.7299 1.6183 2.4663
Ge 4.9569 5.6255 3.7522
Ge 2.6447 3.7508 6.0337
Ge 7.3529 5.8833 10.5321
Ge 7.1704 7.0329 6.4231
Ge 4.5594 5.8833 9.6012
Ge 3.1259 1.8761 9.2462
Ge 3.5233 1.6183 3.3973
Ge 0.9123 0.4687 6.5753
Ge 5.4381 3.7508 6.9647
Mn 3.4208 4.0966 8.3614
Mn 6.5686 5.5573 8.2290
Mn 4.1901 0.0000 1.3965
Mn 4.6620 3.4050 4.6370
Mn 1.5142 1.9443 4.7695
Mn 1.3967 0.0000 0.4655
Th 4.0699 6.6228 6.4137
Th 2.1177 4.5811 2.9586
Th 4.0129 0.8788 6.5847
Th 5.9651 2.9205 10.0399
```

Values from the calculation:
The density of states at the Fermi level is 0.740 states/eV per atom. The calculation puts the calculated formation energy at -0.44 eV/atom. As for the space-group type: Ibam (72). The size of the total moment is 5.1 μB/f.u. As for the volume: 17.943 A^3/atom.

---

No. 2
Here is ThMnVGe2 after structural relaxation from Alexandria. Energies are from PBE-GGA.

```
5
Lattice="-1.0382 3.3255 2.1940 -2.0001 -2.3959 2.6850 6.1078 -0.9825 0.5166" Properties=species:S:1:pos:R:3 pbc="T T T"
Ge -0.4345 0.3424 3.1383
Ge 3.5040 -0.3954 2.2573
Mn 1.2943 -1.4568 2.8206
V 1.7752 1.4039 2.5751
Th 0.0000 0.0000 0.0000
```

Values from the calculation:
The density of states at the Fermi level is 0.714 states/eV per atom. The calculation puts the calculated formation energy at -0.47 eV/atom. As for the space-group type: I-4m2 (119). The size of the total moment is 0.9 μB/f.u. As for the volume: 18.587 A^3/atom.

---

No. 3
Here is TiMnGe after structural relaxation from Alexandria. Energies are from PBE-GGA.

```
18
Lattice="5.7397 0.0000 -2.8310 -1.6977 6.1749 -3.4419 0.0540 -0.1719 7.3435" Properties=species:S:1:pos:R:3 pbc="T T T"
Ti 4.3561 0.0306 1.7457
Ti 0.6511 4.6385 -3.5174
Ti 1.5435 1.3645 5.5259
Ti 3.3961 3.3128 0.4289
Ti 0.0831 2.6902 0.9460
Ti -0.3774 5.9724 -0.6172
Mn 1.5634 5.0435 1.2357
Mn 4.0672 0.9595 -0.9219
Mn 2.2713 2.4685 2.6711
Mn 5.6833 0.0000 -2.8032
Mn 3.3592 3.5345 -2.3573
Mn 4.8344 3.0874 -4.5241
Ge 1.3151 4.0219 -1.0181
Ge -0.0354 1.9811 3.4778
Ge -0.8635 4.9932 1.7989
Ge 2.1432 1.0098 0.6608
Ge 3.7308 1.1456 4.0545
Ge 3.1499 4.8574 -4.3573
```

Values from the calculation:
The density of states at the Fermi level is 0.600 states/eV per atom. The calculation puts the calculated formation energy at -0.50 eV/atom. As for the space-group type: Ima2 (46). The size of the total moment is 1.3 μB/f.u. As for the volume: 14.277 A^3/atom.

---

No. 4
Here is TiMn2Ge2 after structural relaxation from Alexandria. Energies are from PBE-GGA.

```
5
Lattice="3.6287 0.0000 0.0000 1.8143 4.1407 -0.0788 1.8143 0.1825 4.7489" Properties=species:S:1:pos:R:3 pbc="T T T"
Ge 3.6287 2.6258 1.0984
Ge 3.6287 1.6974 3.5718
Mn 1.8143 0.9566 1.8023
Mn 5.4430 3.3667 2.8679
Ti 0.0000 0.0000 0.0000
```

Values from the calculation:
The density of states at the Fermi level is 0.675 states/eV per atom. The calculation puts the calculated formation energy at -0.20 eV/atom. As for the space-group type: C2/m (12). The size of the total moment is 4.1 μB/f.u. As for the volume: 14.281 A^3/atom.

---

No. 5
Here is Ti2MnGe after structural relaxation from Alexandria. Energies are from PBE-GGA.

```
8
Lattice="-4.8496 -3.6687 3.2942 4.3428 -5.3662 0.4171 0.6145 -3.6398 4.1108" Properties=species:S:1:pos:R:3 pbc="T T T"
Ti 0.4559 -6.3466 4.4926
Ti 2.0549 -4.8788 1.8406
Ti -0.1677 -10.4065 6.3126
Ti -2.1278 -3.7172 2.9982
Mn 2.3519 -6.7617 3.1917
Mn -0.2534 -4.5174 1.8556
Ge -2.2443 -5.9129 4.6303
Ge 0.0000 0.0000 0.0000
```

Values from the calculation:
The density of states at the Fermi level is 0.903 states/eV per atom. The calculation puts the calculated formation energy at 0.11 eV/atom. As for the space-group type: I-42d (122). The size of the total moment is 0.0 μB/f.u. As for the volume: 15.370 A^3/atom.

---

No. 6
Here is Ti2MnGe4 after structural relaxation from Alexandria. Energies are from PBE-GGA.

```
7
Lattice="-0.9293 -1.0839 4.3885 -1.8131 -4.0147 -1.3755 4.2804 -5.2806 2.0286" Properties=species:S:1:pos:R:3 pbc="T T T"
Ge -0.4646 -0.5420 2.1942
Ge -0.5926 -6.1375 3.2115
Ge 2.1306 -4.2416 1.8300
Ge -0.9066 -2.0073 -0.6878
Ti 1.7122 -7.2514 3.4245
Ti -0.1742 -3.1278 1.6170
Mn 0.0000 0.0000 0.0000
```

Values from the calculation:
The density of states at the Fermi level is 0.613 states/eV per atom. The calculation puts the calculated formation energy at 0.13 eV/atom. Its energy above the most stable polymorph in this dataset is 300.8 meV/atom. As for the space-group type: I4/mmm (139). The size of the total moment is 2.5 μB/f.u. As for the volume: 19.163 A^3/atom.

---

No. 7
Here is TiMn4Ge after structural relaxation from Alexandria. Energies are from PBE-GGA.

```
6
Lattice="-2.3372 -1.7595 -3.7104 1.5382 -3.9379 -2.1101 -2.4410 -4.0220 0.4364" Properties=species:S:1:pos:R:3 pbc="T T T"
Ti -0.8100 -2.4299 -1.3460
Mn -2.0280 -6.0837 -3.3700
Mn -0.8507 -5.1974 -1.5011
Mn -2.8028 -4.1002 -2.3072
Mn -0.7985 -4.0578 -3.5898
Ge 0.0000 0.0000 0.0000
```

Values from the calculation:
The density of states at the Fermi level is 1.195 states/eV per atom. The calculation puts the calculated formation energy at -0.08 eV/atom. As for the space-group type: F-43m (216). The size of the total moment is 2.9 μB/f.u. As for the volume: 12.432 A^3/atom.

---

No. 8
Here is TiMn5Ge4 after structural relaxation from Alexandria. Energies are from PBE-GGA.

```
20
Lattice="-1.5253 -3.2907 -2.2168 6.6905 -4.6965 2.3682 -3.8123 -2.3496 6.1107" Properties=species:S:1:pos:R:3 pbc="T T T"
Mn 3.4968 -5.1949 3.1520
Mn 2.0938 -6.0596 5.4009
Mn 3.1076 -6.3153 1.2388
Mn -1.4245 -3.5899 4.1556
Mn 2.2225 -4.7705 -0.4477
Mn -0.0215 -2.7252 1.9067
Mn 0.6983 -7.8002 5.1007
Mn -2.4740 -5.5734 3.9778
Mn -0.0647 -4.0885 0.1160
Mn -2.3087 -2.0433 2.4703
Ge 4.1078 -3.9748 1.0344
Ge -3.1085 -1.9507 4.9135
Ge -0.7899 -7.2126 3.2198
Ge 1.8194 -2.3685 0.2244
Ge -1.9056 -4.4453 1.7982
Ge 2.4966 -7.5354 3.3564
Ge -0.7490 -0.4965 1.1315
Ge 0.6628 -6.3173 0.8912
Ti -0.8041 -1.7348 -1.1687
Ti 0.7179 -5.0789 3.1913
```

Values from the calculation:
The density of states at the Fermi level is 0.544 states/eV per atom. The calculation puts the calculated formation energy at -0.04 eV/atom. As for the space-group type: Pmmn (59). The size of the total moment is 2.0 μB/f.u. As for the volume: 13.704 A^3/atom.

---

No. 9
Here is Ti2MnGe after structural relaxation from Alexandria. Energies are from PBE-GGA.

```
4
Lattice="4.3222 0.0000 0.0000 2.1611 3.7431 0.0000 2.1611 1.2477 3.5290" Properties=species:S:1:pos:R:3 pbc="T T T"
Ge 6.4832 3.7431 2.6468
Ti 2.1611 1.2477 0.8823
Ti 0.0000 0.0000 0.0000
Mn 4.3222 2.4954 1.7645
```

Values from the calculation:
The density of states at the Fermi level is 0.715 states/eV per atom. The calculation puts the calculated formation energy at -0.27 eV/atom. As for the space-group type: F-43m (216). The size of the total moment is 1.0 μB/f.u. As for the volume: 14.273 A^3/atom.

---

No. 10
Here is TiMn2Ge4 after structural relaxation from Alexandria. Energies are from PBE-GGA.

```
7
Lattice="-3.6427 0.0219 3.1055 -0.5117 -4.7255 -0.5669 1.8944 -3.3415 5.9348" Properties=species:S:1:pos:R:3 pbc="T T T"
Ge 0.2968 -2.9434 4.0580
Ge -2.5567 -5.1018 4.4153
Ge -0.2558 -2.3627 -0.2835
Ge -1.8213 0.0109 1.5527
Mn -1.2734 -2.5521 2.2135
Mn -0.9866 -5.4930 6.2598
Ti 0.0000 0.0000 0.0000
```

Values from the calculation:
The density of states at the Fermi level is 0.608 states/eV per atom. The calculation puts the calculated formation energy at 0.37 eV/atom. As for the space-group type: I4/mmm (139). The size of the total moment is 6.4 μB/f.u. As for the volume: 20.316 A^3/atom.

---

No. 11
Here is Ti2MnGe after structural relaxation from Alexandria. Energies are from PBE-GGA.

```
4
Lattice="2.9689 0.0000 0.0000 1.4844 2.5711 0.0000 1.4844 0.8570 7.9752" Properties=species:S:1:pos:R:3 pbc="T T T"
Ti 4.4533 2.5711 6.1872
Ti 1.4844 0.8570 1.7880
Mn 0.0000 0.0000 0.0000
Ge 2.9689 1.7141 3.9876
```

Values from the calculation:
The density of states at the Fermi level is 0.672 states/eV per atom. The calculation puts the calculated formation energy at -0.16 eV/atom. As for the space-group type: R-3m (166). The size of the total moment is 0.1 μB/f.u. As for the volume: 15.219 A^3/atom.

---

No. 12
Here is Ti2Mn3Ge after structural relaxation from Alexandria. Energies are from PBE-GGA.

```
6
Lattice="4.2070 -0.1254 -2.2081 -2.6753 3.9232 -0.2035 -0.1110 0.1750 4.8877" Properties=species:S:1:pos:R:3 pbc="T T T"
Mn 0.7103 1.9864 1.2381
Mn 2.0480 0.0248 1.3398
Mn -0.0555 0.0875 2.4439
Ge 0.0000 0.0000 0.0000
Ti -0.7444 2.5533 3.5481
Ti 2.1651 1.4195 -1.0720
```

Values from the calculation:
The density of states at the Fermi level is 0.863 states/eV per atom. The calculation puts the calculated formation energy at -0.33 eV/atom. As for the space-group type: R-3m (166). The size of the total moment is 0.0 μB/f.u. As for the volume: 13.208 A^3/atom.